The following is a DFT calculation (PBE) of crystalline TmHfPaO6 at its relaxed geometry.

Cell and atoms, written as extended XYZ:
```
18
Lattice="-0.141 4.781 -2.779 -3.071 -0.643 4.555 7.165 3.289 5.295" Properties=species:S:1:pos:R:3 pbc="T T T"
Tm -0.303 1.987 3.434
Tm 4.256 5.440 3.637
Hf 0.673 3.795 0.990
Hf 3.279 3.632 6.082
Pa 0.000 0.000 0.000
Pa 3.582 1.644 2.647
O -1.180 3.250 1.809
O -0.188 4.911 -0.565
O 1.464 2.983 6.913
O 4.140 2.516 7.637
O 1.608 2.639 2.471
O 0.483 5.477 2.230
O 3.122 5.377 7.237
O 2.488 4.444 0.159
O 3.470 1.950 4.841
O 0.830 2.050 -0.165
O 2.344 4.788 4.601
O 5.133 4.177 5.262
```

Values from the calculation:
Its formation energy from raw total energies is -3.54 eV/atom. The value obtained for the density is 8.90 g/cm3. The value obtained for the uncorrected energy is -171.13 eV for the cell shown.

---

The following is a DFT calculation (PBE) of crystalline Cs2BaZnPt at its relaxed geometry.

Cell and atoms, written as extended XYZ:
```
5
Lattice="6.272 0.000 0.000 0.000 6.513 0.000 0.000 0.000 6.272" Properties=species:S:1:pos:R:3 pbc="T T T"
Cs 0.000 0.000 3.136
Cs 3.136 0.000 0.000
Zn 0.000 0.000 0.000
Ba 0.000 3.257 0.000
Pt 3.136 3.257 3.136
```

Values from the calculation:
For the energy of formation from the pure elements, the calculation gives 0.495 eV/atom. The value obtained for the density is 4.30 g/cm3. The value obtained for the uncorrected energy is -8.47 eV for the cell shown.

---

The following is a DFT calculation (PBE) of crystalline AcZrSi2Pt2 at its relaxed geometry.

Cell and atoms, written as extended XYZ:
```
6
Lattice="-2.312 2.029 -3.047 0.110 -4.327 0.111 -6.035 -0.036 4.555" Properties=species:S:1:pos:R:3 pbc="T T T"
Ac 0.000 0.000 0.000
Zr -3.018 -0.018 2.277
Si -3.313 -0.100 -0.629
Si -4.924 -2.233 2.248
Pt -5.669 -0.115 1.148
Pt -2.568 -2.219 0.471
```

Values from the calculation:
Its formation energy from raw total energies is -1.06 eV/atom. The value obtained for the density is 10.34 g/cm3. The value obtained for the uncorrected energy is -41.97 eV for the cell shown.

---

The following is a DFT calculation (PBE) of crystalline HfScCdCo at its relaxed geometry.

Cell and atoms, written as extended XYZ:
```
4
Lattice="-2.801 -0.002 -1.483 -0.618 -2.879 1.172 -3.163 3.110 5.971" Properties=species:S:1:pos:R:3 pbc="T T T"
Hf -2.877 -0.293 2.049
Sc -4.187 0.995 4.521
Cd -0.232 0.228 0.438
Co -1.769 1.739 3.338
```

Values from the calculation:
For the energy of formation from the pure elements, the calculation gives -0.264 eV/atom. The value obtained for the density is 8.77 g/cm3. The value obtained for the uncorrected energy is -25.36 eV for the cell shown.

---

The following is a DFT calculation (PBE) of crystalline Pm3Zn6AgHg2 at its relaxed geometry.

Cell and atoms, written as extended XYZ:
```
12
Lattice="-0.815 -0.195 -5.393 3.964 -2.987 2.271 -6.414 -7.567 1.242" Properties=species:S:1:pos:R:3 pbc="T T T"
Pm -1.329 -6.421 0.433
Pm -1.936 -4.327 -2.313
Pm 0.000 0.000 0.000
Zn 1.013 -4.663 -1.343
Zn -0.536 -3.098 0.193
Zn 1.414 -4.567 1.310
Zn -2.729 -7.650 -2.073
Zn -4.278 -6.085 -0.537
Zn -4.678 -6.181 -3.190
Ag -3.207 -3.783 0.621
Hg 0.142 -1.876 -2.715
Hg -3.406 -8.872 0.835
```

Values from the calculation:
For the energy of formation from the pure elements, the calculation gives -0.217 eV/atom. The value obtained for the density is 8.61 g/cm3. The value obtained for the uncorrected energy is -27.96 eV for the cell shown.

---

The following is a DFT calculation (PBE) of crystalline Te2RhW at its relaxed geometry.

Cell and atoms, written as extended XYZ:
```
8
Lattice="-0.727 -4.437 -4.028 -0.928 -3.925 4.491 -6.655 -3.038 0.026" Properties=species:S:1:pos:R:3 pbc="T T T"
Te -2.230 -3.999 -1.927
Te -2.339 -3.792 2.288
Te -5.617 -5.436 0.218
Te -6.435 -9.574 0.400
Rh -0.828 -4.181 0.232
Rh -4.206 -5.572 2.374
W 0.000 0.000 0.000
W -4.105 -5.828 -1.885
```

Values from the calculation:
Its formation energy from raw total energies is 0.55 eV/atom. The value obtained for the density is 8.31 g/cm3. Its energy above the most stable polymorph in this dataset is 419 meV/atom. The value obtained for the uncorrected energy is -48.77 eV for the cell shown.

---

The following is a DFT calculation (PBE) of crystalline KBrO2 at its relaxed geometry.

Cell and atoms, written as extended XYZ:
```
8
Lattice="5.009 -0.002 0.003 -0.450 5.668 0.004 -1.839 -2.167 6.393" Properties=species:S:1:pos:R:3 pbc="T T T"
K 2.689 0.104 1.032
K 2.788 3.167 4.089
Br 0.300 0.433 4.426
Br 0.000 3.165 1.168
O -0.350 4.688 0.217
O 1.164 1.091 3.141
O 3.749 0.268 3.824
O 0.830 -1.152 4.701
```

Values from the calculation:
Its formation energy from raw total energies is -0.68 eV/atom. The value obtained for the density is 2.76 g/cm3. Its energy above the most stable polymorph in this dataset is 111 meV/atom. The value obtained for the uncorrected energy is -30.81 eV for the cell shown.

---

The following is a DFT calculation (PBE) of crystalline PaPtSe4 at its relaxed geometry.

Cell and atoms, written as extended XYZ:
```
12
Lattice="7.578 -0.519 0.000 -3.535 6.723 0.000 -2.021 -3.102 6.633" Properties=species:S:1:pos:R:3 pbc="T T T"
Pa 0.991 1.521 0.000
Pa 4.780 1.261 3.316
Pt 3.043 4.670 0.000
Pt 2.790 -1.793 3.316
Se -2.799 4.184 4.629
Se 2.603 0.372 4.655
Se 3.190 2.490 1.313
Se -2.479 5.893 1.338
Se -1.031 0.822 5.319
Se 0.836 3.734 5.294
Se 4.846 -1.089 1.978
Se -0.599 2.750 2.003
```

Values from the calculation:
Its formation energy from raw total energies is -0.67 eV/atom. The value obtained for the density is 7.56 g/cm3. Its energy above the most stable polymorph in this dataset is 192 meV/atom. The value obtained for the uncorrected energy is -67.01 eV for the cell shown.

---

The following is a DFT calculation (PBE) of crystalline MnPHCS at its relaxed geometry.

Cell and atoms, written as extended XYZ:
```
5
Lattice="-1.064 -2.879 2.279 3.843 -1.529 -1.246 1.599 2.680 3.221" Properties=species:S:1:pos:R:3 pbc="T T T"
Mn 0.325 -2.171 2.647
P 1.848 1.526 2.674
H 4.399 0.097 2.013
C 1.179 -1.285 0.958
S 2.459 -2.096 1.761
```

Values from the calculation:
The value obtained for the density is 3.02 g/cm3. Its energy above the most stable polymorph in this dataset is 333 meV/atom. The value obtained for the uncorrected energy is -29.90 eV for the cell shown.

---

The following is a DFT calculation (PBE) of crystalline Ac3LaPr2Se6 at its relaxed geometry.

Cell and atoms, written as extended XYZ:
```
12
Lattice="-4.934 -0.229 5.745 4.478 -5.946 -1.409 5.118 4.774 2.919" Properties=species:S:1:pos:R:3 pbc="T T T"
Ac 5.468 -2.606 1.244
Ac -0.805 1.204 6.011
Ac 2.331 -0.701 3.627
La 0.000 0.000 0.000
Pr 1.345 -4.043 0.972
Pr -1.801 -2.133 3.363
Se 1.979 -0.065 6.682
Se 0.882 -3.463 3.928
Se 2.683 -1.337 0.573
Se 5.123 -1.975 4.292
Se 3.780 2.061 3.327
Se -0.461 0.573 2.962
```

Values from the calculation:
Its formation energy from raw total energies is -1.88 eV/atom. The value obtained for the density is 7.37 g/cm3. The value obtained for the uncorrected energy is -70.31 eV for the cell shown.

---

The following is a DFT calculation (PBE) of crystalline KLi2Al2 at its relaxed geometry.

Cell and atoms, written as extended XYZ:
```
10
Lattice="-0.525 4.977 6.954 -7.243 -3.963 2.289 1.564 -1.974 1.530" Properties=species:S:1:pos:R:3 pbc="T T T"
K 0.000 0.000 0.000
K -3.884 0.507 4.622
Al -3.711 -2.854 2.946
Al -5.971 -1.459 7.055
Al -2.494 1.895 7.828
Al -0.234 0.499 3.719
Li -6.146 -1.652 4.149
Li -5.322 1.431 7.283
Li -1.622 2.666 5.095
Li -2.446 -0.417 1.961
```

Values from the calculation:
For the energy of formation from the pure elements, the calculation gives 0.050 eV/atom. The value obtained for the density is 1.64 g/cm3. Its energy above the most stable polymorph in this dataset is 0 meV/atom. The value obtained for the uncorrected energy is -24.32 eV for the cell shown.

---

The following is a DFT calculation (PBE) of crystalline KCo2Tc at its relaxed geometry.

Cell and atoms, written as extended XYZ:
```
4
Lattice="2.661 0.000 0.000 0.000 2.661 0.000 0.000 0.000 9.159" Properties=species:S:1:pos:R:3 pbc="T T T"
Co 0.000 0.000 0.136
Co 1.330 1.330 1.659
K 0.000 0.000 4.472
Tc 1.330 1.330 7.471
```

Values from the calculation:
For the energy of formation from the pure elements, the calculation gives 0.761 eV/atom. The value obtained for the density is 6.53 g/cm3. Its energy above the most stable polymorph in this dataset is 73 meV/atom. The value obtained for the uncorrected energy is -22.63 eV for the cell shown.

---

Number 4 is which compound? HfScCdCo

---

What is the density in the third record? 10.34 g/cm3

---

What is the formula in the first record? TmHfPaO6